Compound: ZrSiTc2
Source: the Alexandria database
Functional: PBE
Structure: optimized geometry

abc: 2.957 2.957 7.256
angles: 90.00 90.00 90.00
Space group P4mm (No. 99)
Asymmetric unit:
Zr 0.000 0.000 0.000 [1 per cell]
Si 0.500 0.500 0.278 [1 per cell]
Tc 0.000 0.000 0.473 [1 per cell]
Tc 0.500 0.500 0.700 [1 per cell]

Values from the calculation:
The density is 8.25 Mg/m³. Its raw total energy is -8.957 eV per atom.

Compound: Zr4Si6Tc7
Source: the Alexandria database
Functional: PBE
Structure: optimized geometry

abc: 8.135 8.135 8.135
angles: 90.00 90.00 90.00
Space group Im-3m (No. 229)
Asymmetric unit:
Zr 0.250 0.250 0.250 [8 per cell]
Si 0.000 0.000 0.309 [12 per cell]
Tc 0.000 0.000 0.000 [2 per cell]
Tc 0.000 0.250 0.500 [12 per cell]

Values from the calculation:
The density is 7.52 Mg/m³. Its raw total energy is -8.788 eV per atom.

Compound: ZrSiTc2
Source: the Alexandria database
Functional: PBE
Structure: optimized geometry

abc: 8.859 3.166 4.841
angles: 90.00 109.23 90.00
Space group C2/m (No. 12)
Asymmetric unit:
Zr 0.000 0.000 0.000 [2 per cell]
Si 0.000 0.500 0.500 [2 per cell]
Tc 0.228 0.000 0.706 [4 per cell]

Values from the calculation:
The density is 8.17 Mg/m³. Its raw total energy is -8.987 eV per atom.